Record 1
Computed, not measured: a relaxed structure of CsTl2InGe at the PBE level of DFT.

Structure (POSCAR):
```
CsTl2InGe
1.0
5.8546 0.0000 0.0000
0.0000 6.7070 0.0000
0.0000 0.0000 5.8546
Cs Tl Ge In
1 2 1 1
Direct
0.0000 0.5000 0.0000
0.0000 0.0000 0.5000
0.5000 0.0000 0.0000
0.5000 0.5000 0.5000
0.0000 0.0000 0.0000
```

For the total energy, the calculation gives -9.9 eV per formula unit. The calculation puts the density of states at the Fermi level at 4.2 states/eV/f.u.



Record 2
Computed, not measured: a relaxed structure of TiCo3Sn at the PBE level of DFT.

Structure (POSCAR):
```
TiCo3Sn
1.0
4.5916 0.0000 0.0000
0.0000 4.5916 0.0000
0.0000 0.0000 4.5916
Co Sn Ti
3 1 1
Direct
0.0000 0.5000 0.0000
0.0000 0.0000 0.5000
0.5000 0.0000 0.0000
0.0000 0.0000 0.0000
0.5000 0.5000 0.5000
```

The calculation puts the density of states at the Fermi level at 4.0 states/eV/f.u. As for the distance to the lowest polymorph of the same formula: 2.13 eV per formula unit.



Record 3
Computed, not measured: a relaxed structure of CaTb2GeN4 at the PBE level of DFT.

Structure (POSCAR):
```
CaTb2GeN4
1.0
3.3960 0.0000 0.0000
-1.6980 5.9008 0.0000
0.0000 0.0000 11.8422
Ca Tb Ge N
2 4 2 8
Direct
0.0996 0.1992 0.7500
0.9004 0.8008 0.2500
0.3699 0.7399 0.5384
0.6301 0.2601 0.0384
0.6301 0.2601 0.4616
0.3699 0.7399 0.9616
0.8273 0.6546 0.7500
0.1727 0.3454 0.2500
0.2634 0.5269 0.1240
0.7366 0.4731 0.6240
0.7366 0.4731 0.8760
0.2634 0.5269 0.3760
0.0000 0.0000 0.5000
0.0000 0.0000 0.0000
0.4228 0.8456 0.7500
0.5772 0.1544 0.2500
```

The formation energy without anion corrections is -1031.1 meV/atom.



Record 4
Computed, not measured: a relaxed structure of Tm2ThSc at the PBE level of DFT.

Structure (POSCAR):
```
Tm2ThSc
1.0
5.5123 0.0000 0.0000
2.7562 4.7738 0.0000
2.7562 1.5913 4.5008
Sc Tm Th
1 2 1
Direct
0.5000 0.5000 0.5000
0.2500 0.2500 0.2500
0.7500 0.7500 0.7500
0.0000 0.0000 0.0000
```

The calculation puts the density of states at the Fermi level at 8.2 states/eV/f.u. As for the distance to the lowest polymorph of the same formula: 0.53 eV per formula unit.